Density functional theory data (PBE) for ZnAg3Cl after structural relaxation.

Properties
E above lowest polymorph: 0.161 eV per atom
D(E_F): 0.939 states/eV per cell
uncorrected formation energy: 0.578 eV/atom

Lattice parameters (Å, degrees): 5.0630 5.0630 5.0630 90.00 90.00 90.00
Fractional coordinates of all 5 atoms:
1 Zn 0.0000 0.0000 0.0000
2 Ag 0.0000 0.5000 0.5000
3 Ag 0.5000 0.0000 0.5000
4 Ag 0.5000 0.5000 0.0000
5 Cl 0.5000 0.5000 0.5000